Model A:
A relaxed structure of Fe3As2O16, computed with PBE+U. Values from VASP.

```
&SYSTEM
  ibrav = 0, nat = 21, ntyp = 3
/
ATOMIC_SPECIES
Fe 55.84 Fe.upf
As 74.92 As.upf
O 16.00 O.upf
ATOMIC_POSITIONS angstrom
Fe 0.000 0.000 0.000
Fe -1.961 4.577 3.214
Fe 2.947 2.052 4.738
As 0.320 2.368 2.468
As 0.666 4.262 5.483
O -2.198 6.149 1.832
O -0.498 1.418 3.643
O -0.499 3.831 2.102
O 0.609 1.482 1.044
O -1.369 6.512 2.812
O -0.965 3.879 4.896
O -2.063 5.582 7.808
O -2.071 6.492 6.904
O 3.057 0.138 1.048
O 3.049 1.048 0.143
O 1.951 2.751 3.056
O 2.354 0.118 5.140
O 0.377 5.148 6.907
O 1.484 2.799 5.849
O 1.484 5.212 4.309
O 3.184 0.481 6.120
CELL_PARAMETERS angstrom
4.962 0.000 0.000
-2.380 7.619 0.000
-1.597 -0.989 7.952
```

Results
V (Å³ per atom): 14.32

Model B:
A relaxed structure of Fe3As2O16, computed with PBE+U. Values from VASP.

```
&SYSTEM
  ibrav = 0, nat = 21, ntyp = 3
/
ATOMIC_SPECIES
Fe 55.84 Fe.upf
As 74.92 As.upf
O 16.00 O.upf
ATOMIC_POSITIONS angstrom
Fe 0.000 0.000 0.000
Fe 5.309 1.526 0.000
Fe 5.309 -1.526 0.000
As 2.900 0.000 2.008
As 6.453 0.000 2.634
O 4.321 4.161 1.056
O 4.007 3.042 0.493
O 1.327 0.000 1.370
O 5.032 4.161 3.586
O 3.143 1.442 2.903
O 5.347 3.042 4.150
O 4.039 0.000 0.654
O 3.143 -1.442 2.903
O 6.210 1.442 1.739
O 5.315 0.000 3.988
O 4.007 -3.042 0.493
O 6.210 -1.442 1.739
O 4.321 -4.161 1.056
O 8.026 0.000 3.272
O 5.347 -3.042 4.150
O 5.032 -4.161 3.586
CELL_PARAMETERS angstrom
5.309 -5.661 0.000
5.309 5.661 0.000
-1.265 0.000 4.642
```

Results
V (Å³ per atom): 13.29

Which structure is the most stable? The one labeled model B.

Model A:
A relaxed structure of Fe3AsO, computed with PBE+U. Values from VASP.

```
&SYSTEM
  ibrav = 0, nat = 5, ntyp = 3
/
ATOMIC_SPECIES
Fe 55.84 Fe.upf
As 74.92 As.upf
O 16.00 O.upf
ATOMIC_POSITIONS angstrom
Fe 0.000 0.000 2.099
Fe 0.000 2.099 0.000
Fe 2.099 0.000 0.000
As 2.099 2.099 2.099
O 0.000 0.000 0.000
CELL_PARAMETERS angstrom
4.198 0.000 0.000
0.000 4.198 0.000
0.000 0.000 4.198
```

Results
V (Å³ per atom): 14.79

Model B:
A relaxed structure of Fe3AsO, computed with PBE+U. Values from VASP.

```
&SYSTEM
  ibrav = 0, nat = 5, ntyp = 3
/
ATOMIC_SPECIES
Fe 55.84 Fe.upf
As 74.92 As.upf
O 16.00 O.upf
ATOMIC_POSITIONS angstrom
Fe 0.000 0.000 2.320
Fe 0.000 2.320 0.000
Fe 2.320 0.000 0.000
As 0.000 0.000 0.000
O 2.320 2.320 2.320
CELL_PARAMETERS angstrom
4.639 0.000 0.000
0.000 4.639 0.000
0.000 0.000 4.639
```

Results
V (Å³ per atom): 19.97

Which structure is the most stable? The one labeled model A.

Model A:
A relaxed structure of FeAs3O, computed with PBE+U. Values from VASP.

```
&SYSTEM
  ibrav = 0, nat = 5, ntyp = 3
/
ATOMIC_SPECIES
Fe 55.84 Fe.upf
As 74.92 As.upf
O 16.00 O.upf
ATOMIC_POSITIONS angstrom
Fe 0.000 0.000 0.000
As 0.000 0.000 2.311
As 0.000 2.311 0.000
As 2.311 0.000 0.000
O 2.311 2.311 2.311
CELL_PARAMETERS angstrom
4.623 0.000 0.000
0.000 4.623 0.000
0.000 0.000 4.623
```

Results
V (Å³ per atom): 19.76

Model B:
A relaxed structure of FeAs3O, computed with PBE+U. Values from VASP.

```
&SYSTEM
  ibrav = 0, nat = 5, ntyp = 3
/
ATOMIC_SPECIES
Fe 55.84 Fe.upf
As 74.92 As.upf
O 16.00 O.upf
ATOMIC_POSITIONS angstrom
Fe 0.000 0.000 0.000
As 0.000 2.191 2.191
As 2.191 0.000 2.191
As 2.191 2.191 0.000
O 2.191 2.191 2.191
CELL_PARAMETERS angstrom
4.382 0.000 0.000
0.000 4.382 0.000
0.000 0.000 4.382
```

Results
V (Å³ per atom): 16.83

Which structure is the most stable? The one labeled model B.

Model A:
A relaxed structure of Fe2AsO, computed with PBE+U. Values from VASP.

```
&SYSTEM
  ibrav = 0, nat = 4, ntyp = 3
/
ATOMIC_SPECIES
Fe 55.84 Fe.upf
As 74.92 As.upf
O 16.00 O.upf
ATOMIC_POSITIONS angstrom
Fe 1.495 1.495 1.495
Fe 4.484 4.484 4.484
As 0.000 0.000 0.000
O 2.989 2.989 2.989
CELL_PARAMETERS angstrom
0.000 2.989 2.989
2.989 0.000 2.989
2.989 2.989 0.000
```

Results
V (Å³ per atom): 13.36

Model B:
A relaxed structure of Fe2AsO, computed with PBE+U. Values from VASP.

```
&SYSTEM
  ibrav = 0, nat = 8, ntyp = 3
/
ATOMIC_SPECIES
Fe 55.84 Fe.upf
As 74.92 As.upf
O 16.00 O.upf
ATOMIC_POSITIONS angstrom
Fe 3.855 0.801 -1.351
Fe 0.801 1.285 1.351
Fe -1.285 1.769 4.052
Fe 1.769 1.285 6.753
As 2.570 0.000 2.701
As 0.000 0.000 5.402
O 0.000 0.000 0.000
O 0.000 2.570 2.701
CELL_PARAMETERS angstrom
-2.570 2.570 5.402
2.570 -2.570 5.402
2.570 2.570 -5.402
```

Results
V (Å³ per atom): 17.84

Which structure is the most stable? The one labeled model B.